Record 1
Density functional theory data (PBE) for crystalline Ni3WN at its relaxed geometry.

abc: 4.473 4.473 4.473
angles: 90.00 90.00 90.00
Fractional coordinates of all 5 atoms:
Ni 0.500 0.000 0.000
Ni 0.000 0.000 0.500
N 0.500 0.500 0.500
W 0.000 0.000 0.000
Ni 0.000 0.500 0.000

E = -5.133 eV/atom
Energy above the lowest structure with this stoichiometry = 2.144 eV/atom
Space-group type = Pm-3m, No. 221



Record 2
Density functional theory data (PBE) for crystalline LaCo2AsS at its relaxed geometry.

abc: 4.371 6.057 4.371
angles: 90.00 90.00 90.00
Last column: magnetic moment on the atom in μB.
Fractional coordinates of all 5 atoms:
Co 0.500 0.000 0.000  2.11
Co 0.000 0.000 0.500  1.45
S 0.500 0.500 0.500  0.14
La 0.000 0.500 0.000  0.00
As 0.000 0.000 0.000  0.05

E = -5.764 eV/atom
Space-group type = P4/mmm, No. 123



> Which value of E does entry 1 give?

-5.133 eV/atom



> What is the E in the first record?

-5.133 eV/atom



> Which of these has the lowest E?

LaCo2AsS